Compound: LiPmPN3
Source: Alexandria
Functional: PBE
Structure: optimized geometry

Values from the calculation:
V = 63 Å³/f.u.
theoretical density = 5.9 g/cm3
space-group type = Cmcm
formation energy without anion corrections = -4.549 eV/f.u.

POSCAR file:
```
LiPmPN3
1.0
5.040 0.000 0.000
0.000 5.289 0.000
0.000 -2.644 4.764
N Li Pm P
6 2 2 2
Cartesian
3.780 2.644 2.649
2.520 1.173 0.000
2.520 4.116 0.000
0.000 1.173 0.000
1.260 0.000 2.115
0.000 4.116 0.000
3.780 2.644 0.722
1.260 0.000 4.042
3.780 0.000 2.674
1.260 2.644 2.090
3.780 2.644 4.328
1.260 0.000 0.436
```